DFT (PBE) results for crystalline La3Pm3Hg4 at its relaxed geometry.

Lattice parameters (Å, degrees): 3.910 8.910 8.910 90.29 90.00 90.00
Sites, in units of the cell vectors:
La1 0.000 0.000 0.000
La2 0.000 0.173 0.504
La3 0.000 0.504 0.173
Pm1 0.000 0.671 0.671
Pm2 0.500 0.340 0.836
Pm3 0.500 0.836 0.340
Hg1 0.500 0.206 0.206
Hg2 0.500 0.474 0.474
Hg3 0.500 0.702 0.963
Hg4 0.500 0.963 0.702

## Properties
Fermi-level density of states   1.2341 states/eV per atom
DFT formation energy   -0.365 eV/atom
Space group   No. 38
Crystal system   orthorhombic
Final energy   -0.249 Ry/atom